AlInRe at its PBEsol-relaxed geometry, computed with meta-GGA SCAN. Values from VASP.

Quantum ESPRESSO input file:
```
&SYSTEM
  ibrav = 0, nat = 3, ntyp = 3
/
ATOMIC_SPECIES
Re 186.21 Re.upf
In 114.82 In.upf
Al 26.98 Al.upf
CELL_PARAMETERS angstrom
-1.156 4.060 1.152
-3.995 1.497 -0.973
-2.939 0.618 3.182
ATOMIC_POSITIONS angstrom
Re -2.022 1.544 0.840
In -4.045 3.088 1.681
Al 0.000 0.000 0.000
```

Output
Energy relative to the elements = 0.566 eV/atom
Distance to the lowest polymorph of the same formula = 0 meV per atom
Crystal system = cubic